No. 1
## HfSb3Mo (GGA-PBE)

Data for a relaxed structure of HfSb3Mo.

abc: 5.4617 5.4617 5.4617
angles: 90.00 90.00 90.00
Last column: nearest neighbours and their distance in Å.
Positions (direct):
Mo (0.5000, 0.5000, 0.5000)  12 Sb 3.86
Sb (0.0000, 0.0000, 0.5000)  2 Hf 2.73
Sb (0.5000, 0.0000, 0.0000)  2 Hf 2.73
Hf (0.0000, 0.0000, 0.0000)  6 Sb 2.73
Sb (0.0000, 0.5000, 0.0000)  2 Hf 2.73

The crystal system is cubic. Its uncorrected formation energy is 1.0193 eV per atom. The symmetry is Pm-3m, No. 221.

=====

No. 2
## Tb7DyHo4 (GGA-PBE)

Data for a relaxed structure of Tb7DyHo4.

abc: 7.1434 9.4403 8.8001
angles: 81.06 90.00 40.92
Last column: nearest neighbours and their distance in Å.
Positions (direct):
Tb (0.9713, 0.2793, 0.6658)  6 Ho 3.50-3.58, 5 Tb 3.52-3.57, 1 Dy 3.52
Tb (0.7506, 0.5002, 0.0002)  3 Ho 3.52, 7 Tb 3.52-3.58, 2 Dy 3.57
Tb (0.0287, 0.7207, 0.3342)  6 Ho 3.50-3.58, 5 Tb 3.52-3.57, 1 Dy 3.52
Tb (0.5000, 0.0000, 0.0000)  4 Ho 3.52, 6 Tb 3.52-3.57, 2 Dy 3.57
Ho (0.2791, 0.2206, 0.3341)  4 Ho 3.49-3.57, 8 Tb 3.51-3.57
Ho (0.5291, 0.7211, 0.3336)  8 Tb 3.50-3.58, 3 Ho 3.52-3.57, 1 Dy 3.52
Tb (0.2213, 0.7789, 0.6661)  6 Tb 3.50-3.57, 5 Ho 3.52-3.57, 1 Dy 3.52
Ho (0.4709, 0.2789, 0.6664)  8 Tb 3.50-3.58, 3 Ho 3.52-3.57, 1 Dy 3.52
Ho (0.7209, 0.7794, 0.6659)  4 Ho 3.49-3.57, 8 Tb 3.51-3.57
Tb (0.7787, 0.2211, 0.3339)  6 Tb 3.50-3.57, 5 Ho 3.52-3.57, 1 Dy 3.52
Tb (0.2494, 0.4998, 0.9998)  3 Ho 3.52, 7 Tb 3.52-3.58, 2 Dy 3.57
Dy (0.0000, 0.0000, 0.0000)  2 Ho 3.52, 10 Tb 3.52-3.57

The value obtained for the formation energy is -0.001 eV per atom. The crystal system is triclinic. The symmetry is P-1, No. 2.

=====

no.,calculated density (g/cm³),raw total energy (eV/atom)
1,6.520,-5.6110
2,8.508,-4.6114